Record 1
## Be2GaSnTe (GGA-PBEsol)

Data for a relaxed Be2GaSnTe crystal.

Structure (POSCAR):
```
Be2GaSnTe
1.0
-1.775 -3.673 1.648
3.897 -1.116 1.710
-1.266 2.695 4.645
Sn Be Te Ga
1 2 1 1
Direct
0.000 0.000 0.500
0.500 0.000 0.000
0.000 0.500 0.000
0.500 0.500 0.500
0.000 0.000 0.000
```

Mass density, g/cm³: 5.19
ΔE_f (raw), meV per atom: 521.6



Record 2
## BeTlIn2 (GGA-PBEsol)

Data for a relaxed BeTlIn2 crystal.

Structure (POSCAR):
```
BeTlIn2
1.0
-0.420 -2.972 1.113
2.539 -0.606 -1.853
5.240 1.735 6.613
In Be Tl
2 1 1
Direct
0.000 0.000 0.053
0.500 0.500 0.763
0.500 0.500 0.235
0.000 0.000 0.449
```

Formation enthalpy at 0 K, kJ/mol of atoms: 32.0
Mass density, g/cm³: 8.41
Polymorph energy (0 for the lowest one), eV/atom: 0.044



Record 3
## MnRh3 (GGA-PBEsol)

Data for a relaxed MnRh3 crystal.

Structure (POSCAR):
```
MnRh3
1.0
2.684 0.000 0.000
0.000 4.548 -0.017
0.000 -1.449 4.311
Rh Mn
3 1
Direct
0.500 0.500 0.000
0.000 0.500 0.500
0.500 0.000 0.500
0.000 0.000 0.000
```

Formation enthalpy at 0 K, kJ/mol of atoms: -3.4
Mass density, g/cm³: 11.49



Record 4
## BeSBr2 (GGA-PBEsol)

Data for a relaxed BeSBr2 crystal.

Structure (POSCAR):
```
BeSBr2
1.0
4.690 0.000 0.000
2.345 4.062 0.000
2.345 1.354 3.829
S Br Be
1 2 1
Direct
0.500 0.500 0.500
0.750 0.750 0.750
0.250 0.250 0.250
0.000 0.000 0.000
```

Mass density, g/cm³: 4.57
ΔE_f (raw), meV per atom: 775.0



Record 5
## Nb3TeO (GGA-PBEsol)

Data for a relaxed Nb3TeO crystal.

Structure (POSCAR):
```
Nb3TeO
1.0
-0.359 -4.912 0.767
4.829 -0.161 1.225
-1.183 0.831 4.770
O Nb Te
1 3 1
Direct
0.500 0.500 0.500
0.500 0.000 0.000
0.000 0.500 0.000
0.000 0.000 0.500
0.000 0.000 0.000
```

Mass density, g/cm³: 5.66
ΔE_f (raw), meV per atom: 2083.1
Polymorph energy (0 for the lowest one), eV/atom: 2.723



Record 6
## CaGa2As2 (GGA-PBEsol)

Data for a relaxed CaGa2As2 crystal.

Structure (POSCAR):
```
CaGa2As2
1.0
3.971 0.000 0.000
1.986 3.439 0.000
1.986 1.146 8.268
Ga Ca As
2 1 2
Direct
0.451 0.451 0.647
0.549 0.549 0.353
0.000 0.000 0.000
0.743 0.743 0.771
0.257 0.257 0.229
```

Formation enthalpy at 0 K, kJ/mol of atoms: -61.5
Mass density, g/cm³: 4.84



Record 7
## MoBr (GGA-PBEsol)

Data for a relaxed MoBr crystal.

Structure (POSCAR):
```
MoBr
1.0
3.366 0.000 0.000
-1.683 4.198 -0.046
0.000 -1.167 6.616
Mo Br
2 2
Direct
0.345 0.691 0.045
0.655 0.309 0.955
0.898 0.795 0.719
0.102 0.205 0.281
```

Mass density, g/cm³: 6.26
ΔE_f (raw), meV per atom: 437.6
Polymorph energy (0 for the lowest one), eV/atom: 0.341



Record 8
## SiNi8 (GGA-PBEsol)

Data for a relaxed SiNi8 crystal.

Structure (POSCAR):
```
SiNi8
1.0
3.474 0.000 0.000
1.737 5.171 0.000
1.737 0.000 5.171
Si Ni
1 8
Direct
0.000 0.000 0.000
0.335 0.000 0.330
0.335 0.330 0.000
0.668 0.332 0.332
0.665 0.670 0.000
0.665 0.000 0.670
0.000 0.668 0.332
0.332 0.668 0.668
0.000 0.332 0.668
```

Mass density, g/cm³: 8.90
ΔE_f (raw), meV per atom: -217.9



Record 9
## NdMgPd (GGA-PBEsol)

Data for a relaxed NdMgPd crystal.

Structure (POSCAR):
```
NdMgPd
1.0
-3.725 1.568 0.366
-2.025 -3.295 -6.487
-0.900 -3.668 6.540
Mg Pd Nd
3 3 3
Direct
0.000 0.759 0.000
0.000 0.241 0.241
0.000 0.000 0.759
0.000 0.333 0.667
0.000 0.667 0.333
0.500 0.000 0.000
0.500 0.000 0.414
0.500 0.586 0.586
0.500 0.414 0.000
```

Formation enthalpy at 0 K, kJ/mol of atoms: -60.0
Mass density, g/cm³: 6.83



Record 10
## BeBCl2 (GGA-PBEsol)

Data for a relaxed BeBCl2 crystal.

Structure (POSCAR):
```
BeBCl2
1.0
3.381 0.000 0.000
1.690 2.928 0.000
1.690 0.976 8.537
B Cl Be
1 2 1
Direct
0.500 0.500 0.500
0.070 0.070 0.789
0.930 0.930 0.211
0.000 0.000 0.000
```

Mass density, g/cm³: 1.78
ΔE_f (raw), meV per atom: 728.2



Record 11
## NaScSe2O6 (GGA-PBEsol)

Data for a relaxed NaScSe2O6 crystal.

Structure (POSCAR):
```
NaScSe2O6
1.0
5.515 0.000 0.000
0.000 8.163 0.000
0.000 0.000 12.657
O Se Sc Na
24 8 4 4
Direct
0.988 0.197 0.995
0.750 0.478 0.976
0.250 0.522 0.024
0.250 0.439 0.663
0.750 0.022 0.476
0.506 0.372 0.211
0.512 0.197 0.995
0.488 0.697 0.505
0.250 0.061 0.163
0.994 0.128 0.711
0.012 0.803 0.005
0.012 0.697 0.505
0.494 0.872 0.289
0.750 0.561 0.337
0.512 0.303 0.495
0.494 0.628 0.789
0.506 0.128 0.711
0.988 0.303 0.495
0.994 0.372 0.211
0.006 0.628 0.789
0.750 0.939 0.837
0.250 0.978 0.524
0.006 0.872 0.289
0.488 0.803 0.005
0.750 0.997 0.706
0.750 0.283 0.927
0.250 0.497 0.794
0.250 0.717 0.073
0.250 0.003 0.294
0.750 0.503 0.206
0.250 0.783 0.573
0.750 0.217 0.427
0.250 0.202 0.599
0.250 0.298 0.099
0.750 0.798 0.401
0.750 0.702 0.901
0.750 0.988 0.108
0.250 0.488 0.392
0.750 0.512 0.608
0.250 0.012 0.892
```

Mass density, g/cm³: 3.75
ΔE_f (raw), meV per atom: -1737.2



Record 12
## LiZrPb2 (GGA-PBEsol)

Data for a relaxed LiZrPb2 crystal.

Structure (POSCAR):
```
LiZrPb2
1.0
-2.394 -0.918 1.949
1.069 -3.983 -0.563
4.153 0.369 5.275
Pb Li Zr
2 1 1
Direct
0.000 0.000 0.742
0.000 0.000 0.258
0.500 0.500 0.500
0.500 0.500 0.000
```

Formation enthalpy at 0 K, kJ/mol of atoms: -20.2
Mass density, g/cm³: 9.44



Record 13
## ScTl3Co (GGA-PBEsol)

Data for a relaxed ScTl3Co crystal.

Structure (POSCAR):
```
ScTl3Co
1.0
-3.225 3.532 1.013
-3.314 -2.215 -2.831
-1.586 -2.554 3.855
Tl Sc Co
3 1 1
Direct
0.000 0.000 0.500
0.000 0.500 0.000
0.500 0.000 0.000
0.500 0.500 0.500
0.000 0.000 0.000
```

Formation enthalpy at 0 K, kJ/mol of atoms: 29.0
Mass density, g/cm³: 10.19
Polymorph energy (0 for the lowest one), eV/atom: 0.000



Record 14
## LiNiSe2 (GGA-PBEsol)

Data for a relaxed LiNiSe2 crystal.

Structure (POSCAR):
```
LiNiSe2
1.0
2.806 0.000 0.000
0.000 4.600 0.000
0.000 0.000 4.600
Ni Se Li
1 2 1
Direct
0.500 0.000 0.000
0.000 0.500 0.000
0.000 0.000 0.500
0.500 0.500 0.500
```

Mass density, g/cm³: 6.25
ΔE_f (raw), meV per atom: -317.9



Record 15
## SmTl (GGA-PBEsol)

Data for a relaxed SmTl crystal.

Structure (POSCAR):
```
SmTl
1.0
-0.652 -3.704 -0.447
2.327 -0.759 2.891
-2.916 0.223 2.407
Sm Tl
1 1
Direct
0.000 0.000 0.000
0.500 0.500 0.500
```

Formation enthalpy at 0 K, kJ/mol of atoms: -43.5
Mass density, g/cm³: 10.84



Record 16
## MnH3Ir (GGA-PBEsol)

Data for a relaxed MnH3Ir crystal.

Structure (POSCAR):
```
MnH3Ir
1.0
3.222 0.000 0.000
0.000 3.222 0.000
0.000 0.000 3.222
H Ir Mn
3 1 1
Direct
0.500 0.000 0.000
0.000 0.500 0.000
0.000 0.000 0.500
0.500 0.500 0.500
0.000 0.000 0.000
```

Mass density, g/cm³: 12.41
DFT total energy, eV/atom: -5.42



Record 17
## Sr2CoP (GGA-PBEsol)

Data for a relaxed Sr2CoP crystal.

Structure (POSCAR):
```
Sr2CoP
1.0
-1.586 3.986 -0.369
-0.952 0.010 4.199
5.819 -0.093 -0.889
Sr Co P
2 1 1
Direct
0.000 0.000 0.000
0.750 0.250 0.500
0.500 0.500 0.000
0.250 0.750 0.500
```

Formation enthalpy at 0 K, kJ/mol of atoms: 11.4
Mass density, g/cm³: 4.71



Record 18
## CrSbOF2 (GGA-PBEsol)

Data for a relaxed CrSbOF2 crystal.

Structure (POSCAR):
```
CrSbOF2
1.0
-0.116 2.601 -2.906
1.998 -2.599 -2.405
-3.539 -1.559 -1.254
F Sb Cr O
2 1 1 1
Direct
0.000 0.000 0.500
0.000 0.500 0.000
0.500 0.500 0.500
0.000 0.000 0.000
0.500 0.000 0.000
```

Mass density, g/cm³: 5.86
ΔE_f (raw), meV per atom: -1309.7



Record 19
## Ca2TaSe (GGA-PBEsol)

Data for a relaxed Ca2TaSe crystal.

Structure (POSCAR):
```
Ca2TaSe
1.0
3.331 0.000 0.000
0.000 5.371 0.040
-1.666 -2.207 5.376
Ca Ta Se
2 1 1
Direct
0.790 0.309 0.580
0.983 0.962 0.966
0.202 0.730 0.404
0.525 0.500 0.050
```

Mass density, g/cm³: 5.85
ΔE_f (raw), meV per atom: -143.5



Record 20
## CaLaW3 (GGA-PBEsol)

Data for a relaxed CaLaW3 crystal.

Structure (POSCAR):
```
CaLaW3
1.0
-0.620 -4.715 -1.166
1.532 0.926 -4.557
4.609 -0.942 1.358
W La Ca
3 1 1
Direct
0.000 0.500 0.000
0.000 0.000 0.500
0.500 0.000 0.000
0.000 0.000 0.000
0.500 0.500 0.500
```

Formation enthalpy at 0 K, kJ/mol of atoms: 241.7
Mass density, g/cm³: 10.34



Record 21
## Ca2TaAl2 (GGA-PBEsol)

Data for a relaxed Ca2TaAl2 crystal.

Structure (POSCAR):
```
Ca2TaAl2
1.0
3.506 0.000 0.000
0.000 3.506 0.000
-1.753 -1.753 10.203
Al Ca Ta
2 2 1
Direct
0.750 0.250 0.500
0.250 0.750 0.500
0.393 0.393 0.785
0.607 0.607 0.215
0.000 0.000 0.000
```

Formation enthalpy at 0 K, kJ/mol of atoms: 60.6
Mass density, g/cm³: 4.17



Record 22
## LaPRu (GGA-PBEsol)

Data for a relaxed LaPRu crystal.

Structure (POSCAR):
```
LaPRu
1.0
4.589 0.000 0.000
2.295 3.975 0.000
2.295 1.325 3.747
Ru P La
1 1 1
Direct
0.500 0.500 0.500
0.000 0.000 0.000
0.250 0.250 0.250
```

Formation enthalpy at 0 K, kJ/mol of atoms: 57.1
Mass density, g/cm³: 6.58



Record 23
## LaTl3C (GGA-PBEsol)

Data for a relaxed LaTl3C crystal.

Structure (POSCAR):
```
LaTl3C
1.0
-3.032 -4.242 3.128
4.677 -3.829 -0.658
2.429 2.077 5.172
Tl La C
3 1 1
Direct
0.500 0.000 0.000
0.000 0.500 0.000
0.000 0.000 0.500
0.000 0.000 0.000
0.500 0.500 0.500
```

Formation enthalpy at 0 K, kJ/mol of atoms: 195.8
Mass density, g/cm³: 5.64



Record 24
## NaGaTcH2 (GGA-PBEsol)

Data for a relaxed NaGaTcH2 crystal.

Structure (POSCAR):
```
NaGaTcH2
1.0
-1.004 -0.543 3.448
2.657 -2.446 0.388
3.370 3.914 1.597
Ga Na H Tc
1 1 2 1
Direct
0.000 0.000 0.500
0.000 0.000 0.000
0.500 0.000 0.000
0.000 0.500 0.000
0.500 0.500 0.500
```

Mass density, g/cm³: 4.49
DFT total energy, eV/atom: -3.38



Record 25
## Ag2SBr (GGA-PBEsol)

Data for a relaxed Ag2SBr crystal.

Structure (POSCAR):
```
Ag2SBr
1.0
5.831 0.000 0.000
0.000 5.831 0.000
-2.916 -2.916 5.856
Ag Br S
4 2 2
Direct
0.424 0.875 0.250
0.125 0.174 0.750
0.826 0.375 0.250
0.625 0.576 0.750
0.250 0.750 0.500
0.000 0.000 0.000
0.750 0.250 0.500
0.500 0.500 0.000
```

Mass density, g/cm³: 5.47
ΔE_f (raw), meV per atom: -45.6
Polymorph energy (0 for the lowest one), eV/atom: 0.000



Record 26
## MgCd2In (GGA-PBEsol)

Data for a relaxed MgCd2In crystal.

Structure (POSCAR):
```
MgCd2In
1.0
3.310 0.000 0.000
0.000 4.326 0.000
0.000 0.000 6.130
Mg Cd In
1 2 1
Direct
0.500 0.500 0.500
0.000 0.000 0.743
0.000 0.000 0.257
0.500 0.500 0.000
```

Formation enthalpy at 0 K, kJ/mol of atoms: -5.3
Mass density, g/cm³: 6.89



Record 27
## Hf2ZnH2 (GGA-PBEsol)

Data for a relaxed Hf2ZnH2 crystal.

Structure (POSCAR):
```
Hf2ZnH2
1.0
3.516 0.000 0.000
0.000 3.516 0.000
-1.758 -1.758 4.843
Hf H Zn
2 2 1
Direct
0.350 0.350 0.701
0.650 0.650 0.299
0.250 0.750 0.500
0.750 0.250 0.500
0.000 0.000 0.000
```

Mass density, g/cm³: 11.78
DFT total energy, eV/atom: -6.19